# 1
CeU2S3 | PBE | relaxed

Computed properties:
Raw formation energy ... -1.58 eV/atom
Theoretical density ... 9.31 Mg/m³
Total magnetization ... 5.02 Bohr magnetons per cell
Fermi-level density of states ... 2.19 states/eV per atom

a = 3.868 Å, b = 5.541 Å, c = 6.826 Å
α = 113.95°, β = 106.46°, γ = 90.00°
Site moments in Bohr magnetons follow the coordinates.
Sites, in units of the cell vectors:
Ce 0.000 0.500 0.000  0.27
U 0.665 0.165 0.329  2.14
U 0.335 0.835 0.671  2.14
S 0.328 0.328 0.656  -0.05
S 0.000 0.000 0.000  -0.06
S 0.672 0.672 0.344  -0.05

---

# 2
Ce2U3S8 | PBE | relaxed

Computed properties:
Raw formation energy ... -1.57 eV/atom
Theoretical density ... 5.87 Mg/m³
Total magnetization ... 10.01 Bohr magnetons per cell
Fermi-level density of states ... 1.85 states/eV per atom
Energy relative to the lowest polymorph listed for this composition ... 17 meV per atom

a = 6.661 Å, b = 7.971 Å, c = 8.114 Å
α = 119.42°, β = 106.90°, γ = 90.00°
Site moments in Bohr magnetons follow the coordinates.
Sites, in units of the cell vectors:
Ce 0.338 0.264 0.528  1.02
Ce 0.662 0.736 0.472  1.02
U 0.500 0.000 0.000  2.48
U 0.000 0.256 0.000  2.37
U 0.000 0.744 0.000  2.37
S 0.924 0.614 0.228  -0.07
S 0.076 0.386 0.772  -0.07
S 0.922 0.115 0.229  -0.07
S 0.078 0.885 0.771  -0.07
S 0.588 0.647 0.756  -0.06
S 0.588 0.108 0.756  -0.06
S 0.412 0.892 0.244  -0.06
S 0.412 0.353 0.244  -0.06

---

# 3
Ce3US7 | PBE | relaxed

Computed properties:
Raw formation energy ... -1.72 eV/atom
Theoretical density ... 5.22 Mg/m³
Total magnetization ... 1.59 Bohr magnetons per cell
Fermi-level density of states ... 2.01 states/eV per atom

a = 7.994 Å, b = 7.994 Å, c = 9.454 Å
α = 90.00°, β = 90.00°, γ = 111.73°
Site moments in Bohr magnetons follow the coordinates.
Sites, in units of the cell vectors:
Ce 0.079 0.516 0.750  -0.78
Ce 0.000 0.000 0.000  0.92
Ce 0.000 0.000 0.500  0.92
Ce 0.484 0.921 0.250  -0.78
Ce 0.516 0.079 0.750  -0.78
Ce 0.921 0.484 0.250  -0.78
U 0.500 0.500 0.000  1.55
U 0.500 0.500 0.500  1.55
S 0.109 0.847 0.250  0.00
S 0.153 0.891 0.750  0.00
S 0.156 0.424 0.460  -0.03
S 0.156 0.424 0.040  -0.03
S 0.576 0.844 0.960  -0.03
S 0.576 0.844 0.540  -0.03
S 0.382 0.382 0.750  -0.03
S 0.618 0.618 0.250  -0.03
S 0.424 0.156 0.040  -0.03
S 0.424 0.156 0.460  -0.03
S 0.844 0.576 0.960  -0.03
S 0.844 0.576 0.540  -0.03
S 0.847 0.109 0.250  0.00
S 0.891 0.153 0.750  0.00

---

- total magnetization of number 2 (Ce2U3S8)?
  10.01 Bohr magnetons per cell

---

- Number 3 is which compound?
  Ce3US7

---

- Look up the Fermi-level density of states of the third one.
  2.01 states/eV per atom